Record 1
Material: LaInFe2
Method: DFT, GGA-PBE
State: relaxed

Density of states at the Fermi level in states/eV per cell: 7.48
Space-group type: I-42d (122)
Energy of formation from the pure elements in eV per formula unit: 2.70

Cell: 4.505 4.505 9.486 Å, 76.26 76.26 90.00°
Each line ends with the local moment (μB).
Fractional coordinates of all 8 atoms:
In (0.500, 0.500, 0.000)  -0.07
In (0.250, 0.750, 0.500)  -0.07
Fe (0.723, 0.125, 0.250)  2.24
Fe (0.027, 0.625, 0.250)  2.25
Fe (0.375, 0.277, 0.750)  2.21
Fe (0.875, 0.973, 0.750)  2.23
La (0.000, 0.000, 0.000)  -0.25
La (0.750, 0.250, 0.500)  -0.25


Record 2
Material: LaCe2OsN4
Method: DFT, GGA-PBE
State: relaxed

Density of states at the Fermi level in states/eV per cell: 8.88
Space-group type: Cmcm (63)
Final energy in eV per atom: -8.670

Cell: 3.448 6.284 11.847 Å, 90.00 90.00 105.92°
Fractional coordinates of all 16 atoms:
La (0.107, 0.213, 0.750)
La (0.893, 0.787, 0.250)
Ce (0.368, 0.737, 0.549)
Ce (0.632, 0.263, 0.049)
Ce (0.632, 0.263, 0.451)
Ce (0.368, 0.737, 0.951)
Os (0.848, 0.696, 0.750)
Os (0.152, 0.304, 0.250)
N (0.268, 0.537, 0.124)
N (0.732, 0.463, 0.624)
N (0.732, 0.463, 0.876)
N (0.268, 0.537, 0.376)
N (0.000, 0.000, 0.500)
N (0.000, 0.000, 0.000)
N (0.448, 0.896, 0.750)
N (0.552, 0.104, 0.250)


Record 3
Material: Y2Th2Se7
Method: DFT, GGA-PBE
State: relaxed

Space-group type: P-4m2 (115)
Final energy in eV per atom: -6.418

Cell: 4.907 4.907 13.771 Å, 90.00 90.00 90.00°
Fractional coordinates of all 11 atoms:
Y (0.500, 0.000, 0.863)
Y (0.000, 0.500, 0.137)
Th (0.500, 0.000, 0.372)
Th (0.000, 0.500, 0.628)
Se (0.500, 0.500, 0.000)
Se (0.000, 0.000, 0.232)
Se (0.500, 0.500, 0.253)
Se (0.000, 0.000, 0.500)
Se (0.500, 0.500, 0.500)
Se (0.000, 0.000, 0.768)
Se (0.500, 0.500, 0.747)


Number 1: volume 91 Å³/f.u.. Number 2: volume 123 Å³/f.u.. Number 3: volume 332 Å³/f.u..